Density functional theory data (PBE-GGA) for a relaxed structure of ReSn2GeI.

ΔE_f (raw): 0.03 eV/atom
Size of the total moment: 0.00 Bohr magnetons per cell
N(E_F): 0.02 states/eV/atom
Volume: 27.3 Å³ per atom
Energy: -5.29 eV per atom

a = 5.3009 Å, b = 5.3009 Å, c = 4.8637 Å
α = 90.00°, β = 90.00°, γ = 90.00°
With the nearest neighbours (Å) after each atom.
Positions (direct):
Re  0.0000  0.0000  0.0000  2 Ge 2.43, 4 Sn 2.65
Sn  0.0000  0.5000  0.0000  2 Re 2.65
Sn  0.5000  0.0000  0.0000  2 Re 2.65
Ge  0.0000  0.0000  0.5000  2 Re 2.43
I  0.5000  0.5000  0.5000  8 Sn 3.60, 4 Ge 3.75